[1]
Density functional theory data (PBE) for a relaxed ZnTcCl crystal.

a b c (Å): 7.0712 6.7126 3.0316
angles (deg): 84.01 70.75 25.24
Element x y z (fractional)
Zn 0.0000 0.0000 0.0000
Tc 0.3378 0.3378 0.6622
Cl 0.6932 0.6932 0.3068

Results
total magnetization = 0.000 μB per atom
crystal system = orthorhombic
formation energy (no corrections) = 30 kJ/mol of atoms
calculated total energy = -4.183 eV per atom

***

[2]
Density functional theory data (PBE) for a relaxed ZnTcCl crystal.

a b c (Å): 4.3827 4.3827 2.8054
angles (deg): 90.00 90.00 120.00
Element x y z (fractional)
Zn 0.0000 0.0000 0.0000
Tc 0.3333 0.6667 0.5000
Cl 0.6667 0.3333 0.5000

Results
total magnetization = 0.000 μB per atom
crystal system = hexagonal
formation energy (no corrections) = 54 kJ/mol of atoms
calculated total energy = -3.934 eV per atom